Run P
# BeHgIr2 PBE relaxed
data_BeHgIr2
_chemical_formula_sum 'Be2 Hg2 Ir4'
_symmetry_space_group_name_H-M 'C m m m'
_symmetry_Int_Tables_number 65
_symmetry_space_group_name_Hall '-C 2 2'
_cell_length_a 5.672
_cell_length_b 7.178
_cell_length_c 2.947
_cell_angle_alpha 90.00
_cell_angle_beta 90.00
_cell_angle_gamma 90.00
loop_
_atom_site_label
_atom_site_fract_x
_atom_site_fract_y
_atom_site_fract_z
Be1 0.000 0.000 0.000
Hg1 0.000 0.500 0.000
Ir1 0.250 0.250 0.500
# density of states at the Fermi level	7.2	states/eV per cell
# total magnetization	0.00	μB/f.u.
# volume	15.00	A^3/atom

=====

Run Q
# BeHgIr2 PBE relaxed
data_BeHgIr2
_chemical_formula_sum 'Be2 Hg2 Ir4'
_symmetry_space_group_name_H-M 'C 1 m 1'
_symmetry_Int_Tables_number 8
_cell_length_a 8.992
_cell_length_b 2.858
_cell_length_c 5.066
_cell_angle_alpha 90.00
_cell_angle_beta 96.56
_cell_angle_gamma 90.00
loop_
_symmetry_equiv_pos_as_xyz
'x,y,z'
'x,-y,z'
'x+1/2,y+1/2,z'
'x+1/2,-y+1/2,z'
loop_
_atom_site_label
_atom_site_fract_x
_atom_site_fract_y
_atom_site_fract_z
Be1 0.000 0.000 0.000
Hg1 0.194 0.000 0.635
Ir1 0.215 0.500 0.127
Ir2 0.446 0.000 0.315
# density of states at the Fermi level	6.0	states/eV per cell
# total magnetization	0.00	μB/f.u.
# volume	16.17	A^3/atom

=====

Run R
# BeHgIr2 PBE relaxed
data_BeHgIr2
_chemical_formula_sum 'Be1 Hg1 Ir2'
_symmetry_space_group_name_H-M 'P 4/m m m'
_symmetry_Int_Tables_number 123
_symmetry_space_group_name_Hall '-P 4 2'
_cell_length_a 3.960
_cell_length_b 3.960
_cell_length_c 3.801
_cell_angle_alpha 90.00
_cell_angle_beta 90.00
_cell_angle_gamma 90.00
loop_
_atom_site_label
_atom_site_fract_x
_atom_site_fract_y
_atom_site_fract_z
Be1 0.000 0.000 0.000
Hg1 0.500 0.500 0.000
Ir1 0.000 0.500 0.500
# density of states at the Fermi level	4.0	states/eV per cell
# total magnetization	0.00	μB/f.u.
# volume	14.90	A^3/atom

=====

Stability check: which of them is least stable? run P.